## Tl3CuH2F6 (PBE-GGA)

Data for an optimized crystal structure of Tl3CuH2F6.

Summary:
raw total energy = -45.81 eV per formula unit
magnetic moment = 0.1 μB/f.u.

a b c (Å): 5.6985 5.6985 6.6989
angles (deg): 90.00 90.00 120.00
Last column: nearest neighbours and their distance in Å.
Sites, in units of the cell vectors:
1 F 0.8072 0.6143 0.6941  1 H 1.39
2 F 0.1928 0.3857 0.3059  1 H 1.39
3 F 0.3857 0.1928 0.6941  1 H 1.39
4 Tl 0.3333 0.6667 0.7049  1 H 2.71, 9 F 2.86-3.01
5 H 0.3333 0.6667 0.3002  3 F 1.39
6 F 0.1928 0.8072 0.3059  1 H 1.39
7 H 0.6667 0.3333 0.6998  3 F 1.39
8 Tl 0.6667 0.3333 0.2951  1 H 2.71, 9 F 2.86-3.01
9 Cu 0.0000 0.0000 0.5000  6 F 2.30
10 F 0.6143 0.8072 0.3059  1 H 1.39
11 Tl 0.0000 0.0000 0.0000  6 F 2.80
12 F 0.8072 0.1928 0.6941  1 H 1.39